DFT (PBE) results for KFeS2Cl after structural relaxation.

a = 5.5201 Å, b = 5.5201 Å, c = 5.3989 Å
α = 90.00°, β = 90.00°, γ = 90.00°
Site moments in Bohr magnetons follow the coordinates.
Fractional coordinates of all 5 atoms:
Fe  0.5000  0.5000  0.5000  3.36
K  0.0000  0.0000  0.0000  0.05
Cl  0.0000  0.0000  0.5000  0.12
S  0.5000  0.0000  0.0000  0.71
S  0.0000  0.5000  0.0000  0.71

Formation energy (no corrections): 1123.0 meV/atom
M_tot: 6.04 Bohr magnetons per cell
Symmetry: P4/mmm
Calculated volume: 32.90 A^3/atom
Polymorph energy (0 for the lowest one): 7.987 eV per formula unit

DFT (PBE) results for Y8Er2Th after structural relaxation.

a = 5.0426 Å, b = 7.9763 Å, c = 9.4384 Å
α = 104.70°, β = 105.49°, γ = 90.00°
Fractional coordinates of all 11 atoms:
Y  0.8642  0.8185  0.7285
Y  0.5912  0.4523  0.1824
Y  0.9548  0.2678  0.9095
Er  0.2280  0.6350  0.4561
Y  0.6806  0.9085  0.3611
Er  0.7720  0.3650  0.5439
Y  0.3194  0.0915  0.6389
Y  0.0452  0.7322  0.0905
Y  0.4088  0.5477  0.8176
Y  0.1358  0.1815  0.2715
Th  0.5000  0.0000  0.0000

M_tot: 0.00 Bohr magnetons per cell
Symmetry: C2/m
Calculated volume: 32.08 A^3/atom
ΔE_f: 34 meV/atom
Polymorph energy (0 for the lowest one): 0.000 eV per formula unit